Compound: YMgZr2Nb
Source: the Alexandria database
Functional: GGA-PBE
Structure: relaxed

Lattice parameters (Å, degrees): 5.1324 4.9845 5.1324 90.00 90.00 90.00
Closest atoms and distances in Å follow each position.
Fractional positions:
Y 0.5000 0.5000 0.5000  8 Zr 3.58, 4 Nb 3.63
Nb 0.0000 0.5000 0.0000  2 Mg 2.49
Mg 0.0000 0.0000 0.0000  2 Nb 2.49, 4 Zr 2.57
Zr 0.0000 0.0000 0.5000  2 Mg 2.57
Zr 0.5000 0.0000 0.0000  2 Mg 2.57

Properties
E_tot in eV per atom: -5.98